An optimized crystal structure of HgHO, computed with GGA-PBE.

Cell and atoms, written as POSCAR:
```
HgHO
1.0
-1.233 -0.582 3.410
0.065 -3.623 -0.595
4.164 1.958 -0.138
Hg H O
1 1 1
direct
0.339 0.339 0.678 Hg
0.691 0.691 0.381 H
0.820 0.820 0.641 O
```

## Properties
mass density: 7.05 g/cm³
DFT total energy: -9.53 eV for the cell shown
D(E_F): 1.241 states/eV/cell
magnetization: 0.0 μB/cell